# 1
Compound: Zn2PdBr
Source: the Alexandria database
Functional: PBE-GGA
Structure: relaxed

Cell: 6.133 6.133 6.133 Å, 112.10 112.10 104.32°
Fractional positions:
Zn: 0.102 0.125 0.477
Zn: 0.375 0.898 0.023
Zn: 0.648 0.625 0.523
Zn: 0.875 0.352 0.977
Pd: 0.000 0.000 0.000
Pd: 0.750 0.250 0.500
Br: 0.250 0.750 0.500
Br: 0.500 0.500 0.000

Properties
Space-group type: I-42d, No. 122
DOS(E_F), states/eV/cell: 3.1
ΔE_f (raw), kJ/mol of formula units: -1

***

# 2
Compound: Li2TlGa
Source: the Alexandria database
Functional: PBE-GGA
Structure: relaxed

Cell: 9.314 9.314 9.314 Å, 19.83 19.83 19.83°
Fractional positions:
Li: 0.000 0.000 0.000
Li: 0.176 0.176 0.176
Tl: 0.755 0.755 0.755
Ga: 0.588 0.588 0.588

Properties
Space-group type: R3m, No. 160
DOS(E_F), states/eV/cell: 2.2
DFT formation energy, eV per atom: -0.121

***

# 3
Compound: TmLuScAl
Source: the Alexandria database
Functional: PBE-GGA
Structure: relaxed

Cell: 5.162 5.162 5.162 Å, 60.00 60.00 60.00°
Fractional positions:
Tm: 0.000 0.000 0.000
Lu: 0.500 0.500 0.500
Sc: 0.250 0.250 0.250
Al: 0.750 0.750 0.750

Properties
Space-group type: F-43m, No. 216
DOS(E_F), states/eV/cell: 4.7
DFT formation energy, eV per atom: -0.103

***

# 4
Compound: BaTaRu
Source: the Alexandria database
Functional: PBE-GGA
Structure: relaxed

Cell: 4.758 4.758 4.758 Å, 60.00 60.00 60.00°
Fractional positions:
Ba: 0.000 0.000 0.000
Ta: 0.500 0.500 0.500
Ru: 0.250 0.250 0.250

Properties
Space-group type: F-43m, No. 216
DOS(E_F), states/eV/cell: 2.4
DFT formation energy, eV per atom: 1.083

***

# 5
Compound: LaSeBr2
Source: the Alexandria database
Functional: PBE-GGA
Structure: relaxed

Cell: 4.003 4.003 6.867 Å, 90.00 90.00 90.00°
Fractional positions:
La: 0.000 0.000 0.000
Se: 0.000 0.000 0.500
Br: 0.500 0.500 0.227
Br: 0.500 0.500 0.773

Properties
Space-group type: P4/mmm, No. 123
DOS(E_F), states/eV/cell: 2.9
ΔE_f (raw), kJ/mol of formula units: -394

***

# 6
Compound: SrNdTi4O12
Source: the Alexandria database
Functional: PBE-GGA
Structure: relaxed

Cell: 7.762 5.508 5.508 Å, 89.82 90.00 90.00°
Fractional positions:
Sr: 0.000 0.000 0.000
Nd: 0.500 0.481 0.481
Ti: 0.249 0.495 0.989
Ti: 0.249 0.989 0.495
Ti: 0.751 0.495 0.989
Ti: 0.751 0.989 0.495
O: 0.000 0.512 0.983
O: 0.000 0.983 0.512
O: 0.243 0.251 0.251
O: 0.258 0.244 0.746
O: 0.258 0.746 0.244
O: 0.280 0.731 0.731
O: 0.500 0.028 0.480
O: 0.500 0.480 0.028
O: 0.720 0.731 0.731
O: 0.742 0.244 0.746
O: 0.742 0.746 0.244
O: 0.757 0.251 0.251

Properties
Space-group type: Amm2, No. 38
DOS(E_F), states/eV/cell: 4.9
ΔE_f (raw), kJ/mol of formula units: -4675

***

# 7
Compound: Cs2SeBr4Cl2
Source: the Alexandria database
Functional: PBE-GGA
Structure: relaxed

Cell: 7.800 7.800 7.800 Å, 120.77 120.77 88.67°
Fractional positions:
Cs: 0.250 0.750 0.500
Cs: 0.750 0.250 0.500
Se: 0.000 0.000 0.000
Br: 0.240 0.240 0.479
Br: 0.240 0.760 0.000
Br: 0.760 0.240 0.000
Br: 0.760 0.760 0.521
Cl: 0.219 0.219 0.000
Cl: 0.781 0.781 0.000

Properties
Space-group type: I4/mmm, No. 139
DOS(E_F), states/eV/cell: 0.0
ΔE_f (raw), kJ/mol of formula units: -886

***

# 8
Compound: ZrPdSe4
Source: the Alexandria database
Functional: PBE-GGA
Structure: relaxed

Cell: 6.475 6.109 7.139 Å, 90.00 98.04 90.00°
Fractional positions:
Zr: 0.000 0.000 0.000
Zr: 0.000 0.500 0.500
Pd: 0.500 0.000 0.500
Pd: 0.500 0.500 0.000
Se: 0.146 0.132 0.349
Se: 0.146 0.368 0.849
Se: 0.384 0.626 0.402
Se: 0.384 0.874 0.902
Se: 0.616 0.126 0.098
Se: 0.616 0.374 0.598
Se: 0.854 0.632 0.151
Se: 0.854 0.868 0.651

Properties
Space-group type: P2_1/c, No. 14
DOS(E_F), states/eV/cell: 3.4
ΔE_f (raw), kJ/mol of formula units: -340

***

# 9
Compound: Cu3WSe
Source: the Alexandria database
Functional: PBE-GGA
Structure: relaxed

Cell: 4.452 4.452 4.452 Å, 90.00 90.00 90.00°
Fractional positions:
Cu: 0.000 0.000 0.500
Cu: 0.000 0.500 0.000
Cu: 0.500 0.000 0.000
W: 0.500 0.500 0.500
Se: 0.000 0.000 0.000

Properties
Space-group type: Pm-3m, No. 221
DOS(E_F), states/eV/cell: 4.7
ΔE_f (raw), kJ/mol of formula units: 667

***

# 10
Compound: ScTi2Fe9
Source: the Alexandria database
Functional: PBE-GGA
Structure: relaxed

Cell: 8.297 8.297 8.297 Å, 33.65 33.65 33.65°
Fractional positions:
Sc: 0.000 0.000 0.000
Ti: 0.144 0.144 0.144
Ti: 0.856 0.856 0.856
Fe: 0.082 0.588 0.588
Fe: 0.333 0.333 0.333
Fe: 0.412 0.412 0.918
Fe: 0.412 0.918 0.412
Fe: 0.500 0.500 0.500
Fe: 0.588 0.082 0.588
Fe: 0.588 0.588 0.082
Fe: 0.667 0.667 0.667
Fe: 0.918 0.412 0.412

Properties
Space-group type: R-3m, No. 166
DOS(E_F), states/eV/cell: 11.7
DFT formation energy, eV per atom: -0.194

***

# 11
Compound: CeSm2Tm12
Source: the Alexandria database
Functional: PBE-GGA
Structure: relaxed

Cell: 23.919 23.919 5.553 Å, 90.00 90.00 171.57°
Fractional positions:
Ce: 0.000 0.000 0.000
Sm: 0.360 0.640 0.000
Sm: 0.640 0.360 0.000
Tm: 0.096 0.904 0.500
Tm: 0.165 0.835 0.500
Tm: 0.214 0.786 0.000
Tm: 0.277 0.723 0.500
Tm: 0.432 0.568 0.000
Tm: 0.467 0.533 0.500
Tm: 0.533 0.467 0.500
Tm: 0.568 0.432 0.000
Tm: 0.723 0.277 0.500
Tm: 0.786 0.214 0.000
Tm: 0.835 0.165 0.500
Tm: 0.904 0.096 0.500

Properties
Space-group type: Cmmm, No. 65
DOS(E_F), states/eV/cell: 26.3
DFT formation energy, eV per atom: 0.116

***

# 12
Compound: Y2InHPb
Source: the Alexandria database
Functional: PBE-GGA
Structure: relaxed

Cell: 4.869 4.869 4.648 Å, 90.00 90.00 90.00°
Fractional positions:
Y: 0.000 0.500 0.000
Y: 0.500 0.000 0.000
In: 0.000 0.000 0.500
H: 0.000 0.000 0.000
Pb: 0.500 0.500 0.500

Properties
Space-group type: P4/mmm, No. 123
Total DFT energy (no corrections), eV/atom: -4.88
DOS(E_F), states/eV/cell: 4.0

***

# 13
Compound: Nd3TmRh
Source: the Alexandria database
Functional: PBE-GGA
Structure: relaxed

Cell: 5.559 5.559 5.559 Å, 90.00 90.00 90.00°
Fractional positions:
Nd: 0.000 0.000 0.500
Nd: 0.000 0.500 0.000
Nd: 0.500 0.000 0.000
Tm: 0.500 0.500 0.500
Rh: 0.000 0.000 0.000

Properties
Space-group type: Pm-3m, No. 221
DOS(E_F), states/eV/cell: 9.4
DFT formation energy, eV per atom: -0.088

***

# 14
Compound: CrWBr2
Source: the Alexandria database
Functional: PBE-GGA
Structure: relaxed

Cell: 8.698 8.698 8.698 Å, 20.52 20.52 20.52°
Fractional positions:
Cr: 0.000 0.000 0.000
W: 0.500 0.500 0.500
Br: 0.401 0.401 0.401
Br: 0.599 0.599 0.599

Properties
Space-group type: R-3m, No. 166
DOS(E_F), states/eV/cell: 6.4
ΔE_f (raw), kJ/mol of formula units: 345

***

# 15
Compound: AlGa2
Source: the Alexandria database
Functional: PBE-GGA
Structure: relaxed

Cell: 3.591 3.591 4.798 Å, 109.91 109.91 90.07°
Fractional positions:
Al: 0.000 0.000 0.000
Ga: 0.333 0.333 0.669
Ga: 0.667 0.667 0.331

Properties
Space-group type: C2/m, No. 12
DOS(E_F), states/eV/cell: 1.2
DFT formation energy, eV per atom: 0.062

***

# 16
Compound: ZrTaNb
Source: the Alexandria database
Functional: PBE-GGA
Structure: relaxed

Cell: 5.715 5.715 5.715 Å, 145.50 145.50 49.59°
Fractional positions:
Zr: 0.000 0.000 0.000
Ta: 0.317 0.317 0.000
Nb: 0.679 0.679 0.000

Properties
Space-group type: I4mm, No. 107
DOS(E_F), states/eV/cell: 4.2
DFT formation energy, eV per atom: 0.050

***

# 17
Compound: MnInIBr2
Source: the Alexandria database
Functional: PBE-GGA
Structure: relaxed

Cell: 4.957 4.957 5.570 Å, 90.00 90.00 90.00°
Fractional positions:
Mn: 0.000 0.000 0.000
In: 0.500 0.500 0.500
I: 0.000 0.000 0.500
Br: 0.000 0.500 0.000
Br: 0.500 0.000 0.000

Properties
Space-group type: P4/mmm, No. 123
DOS(E_F), states/eV/cell: 0.6
ΔE_f (raw), kJ/mol of formula units: -215

***

# 18
Compound: PrHg
Source: the Alexandria database
Functional: PBE-GGA
Structure: relaxed

Cell: 4.536 4.536 4.536 Å, 60.00 60.00 60.00°
Fractional positions:
Pr: 0.000 0.000 0.000
Hg: 0.500 0.500 0.500

Properties
Space-group type: Fm-3m, No. 225
DOS(E_F), states/eV/cell: 4.4
DFT formation energy, eV per atom: -0.234

***

# 19
Compound: VInPdCl2
Source: the Alexandria database
Functional: PBE-GGA
Structure: relaxed

Cell: 4.961 4.961 5.071 Å, 90.00 90.00 90.00°
Fractional positions:
V: 0.000 0.000 0.000
In: 0.500 0.500 0.000
Pd: 0.000 0.000 0.500
Cl: 0.000 0.500 0.500
Cl: 0.500 0.000 0.500

Properties
Space-group type: P4/mmm, No. 123
DOS(E_F), states/eV/cell: 3.7
ΔE_f (raw), kJ/mol of formula units: 103

***

# 20
Compound: ScBeP2Br
Source: the Alexandria database
Functional: PBE-GGA
Structure: relaxed

Cell: 4.200 4.200 5.213 Å, 90.00 90.00 90.00°
Fractional positions:
Sc: 0.000 0.000 0.000
Be: 0.500 0.500 0.500
P: 0.000 0.500 0.500
P: 0.500 0.000 0.500
Br: 0.500 0.500 0.000

Properties
Space-group type: P4/mmm, No. 123
DOS(E_F), states/eV/cell: 2.2
ΔE_f (raw), kJ/mol of formula units: -12

***

# 21
Compound: BeRuPt2
Source: the Alexandria database
Functional: PBE-GGA
Structure: relaxed

Cell: 4.611 4.611 4.611 Å, 130.70 130.70 72.29°
Fractional positions:
Be: 0.000 0.000 0.000
Ru: 0.750 0.250 0.500
Pt: 0.250 0.750 0.500
Pt: 0.500 0.500 0.000

Properties
Space-group type: I-4m2, No. 119
DOS(E_F), states/eV/cell: 3.3
DFT formation energy, eV per atom: -0.098